Zn2GaRu | PBE | relaxed

Results
Calculated density, Mg/m³: 7.9
Space-group type: I-42d
Energy of formation from the pure elements, meV/atom: 192

Cell: 5.6021 5.6021 5.6021 Å, 101.81 101.81 126.21°
Element x y z (fractional)
Zn (0.1206, 0.6250, 0.9956)
Zn (0.3750, 0.3706, 0.4956)
Zn (0.6294, 0.1250, 0.0044)
Zn (0.8750, 0.8794, 0.5044)
Ga (0.2500, 0.7500, 0.5000)
Ga (0.5000, 0.5000, 0.0000)
Ru (0.0000, 0.0000, 0.0000)
Ru (0.7500, 0.2500, 0.5000)

K2CrHg | PBE | relaxed

Results
Calculated density, Mg/m³: 3.8
Space-group type: I-42d
Energy of formation from the pure elements, meV/atom: 579

Cell: 7.4997 7.4997 7.4997 Å, 100.12 100.12 130.43°
Element x y z (fractional)
K (0.1067, 0.6250, 0.9817)
K (0.3750, 0.3567, 0.4817)
K (0.6433, 0.1250, 0.0183)
K (0.8750, 0.8933, 0.5183)
Cr (0.2500, 0.7500, 0.5000)
Cr (0.5000, 0.5000, 0.0000)
Hg (0.0000, 0.0000, 0.0000)
Hg (0.7500, 0.2500, 0.5000)

Ge2SbF6 | PBE | relaxed

Results
Calculated density, Mg/m³: 4.0
Space-group type: C2/c
Raw formation energy, meV/atom: -1949

Cell: 7.3939 7.3939 8.9476 Å, 125.80 125.80 63.14°
Element x y z (fractional)
Ge (0.1565, 0.1583, 0.2429)
Ge (0.1583, 0.1565, 0.7429)
Ge (0.8417, 0.8435, 0.2571)
Ge (0.8435, 0.8417, 0.7571)
Sb (0.4570, 0.5430, 0.2500)
Sb (0.5430, 0.4570, 0.7500)
F (0.0694, 0.0751, 0.9503)
F (0.0751, 0.0694, 0.4503)
F (0.0916, 0.6095, 0.2603)
F (0.2635, 0.5333, 0.7772)
F (0.3905, 0.9084, 0.2397)
F (0.4667, 0.7365, 0.7228)
F (0.5333, 0.2635, 0.2772)
F (0.6095, 0.0916, 0.7603)
F (0.7365, 0.4667, 0.2228)
F (0.9084, 0.3905, 0.7397)
F (0.9249, 0.9306, 0.5497)
F (0.9306, 0.9249, 0.0497)

LaInMo2 | PBE | relaxed

Results
Calculated density, Mg/m³: 7.8
Space-group type: C2/m
Energy of formation from the pure elements, meV/atom: 382

Cell: 5.2816 5.2816 5.7212 Å, 106.98 106.98 38.76°
Element x y z (fractional)
La (0.0000, 0.0000, 0.0000)
In (0.5000, 0.5000, 0.5000)
Mo (0.2472, 0.2472, 0.6513)
Mo (0.7528, 0.7528, 0.3487)

CrRhW2 | PBE | relaxed

Results
Calculated density, Mg/m³: 14.5
Space-group type: Pmmm
Energy of formation from the pure elements, meV/atom: 130

Cell: 3.2607 4.2747 4.2881 Å, 90.00 90.00 90.00°
Element x y z (fractional)
Cr (0.0000, 0.0000, 0.0000)
Rh (0.5000, 0.0000, 0.5000)
W (0.0000, 0.5000, 0.5000)
W (0.5000, 0.5000, 0.0000)

LaNbTe2 | PBE | relaxed

Results
Calculated density, Mg/m³: 8.1
Space-group type: Fm-3m
Raw formation energy, meV/atom: -670

Cell: 5.2055 5.2055 5.2055 Å, 60.00 60.00 60.00°
Element x y z (fractional)
La (0.0000, 0.0000, 0.0000)
Nb (0.5000, 0.5000, 0.5000)
Te (0.2500, 0.2500, 0.2500)
Te (0.7500, 0.7500, 0.7500)

AgHgIr2 | PBE | relaxed

Results
Calculated density, Mg/m³: 17.1
Space-group type: R3m
Energy of formation from the pure elements, meV/atom: 319

Cell: 9.7037 9.7037 9.7037 Å, 16.90 16.90 16.90°
Element x y z (fractional)
Ag (0.0000, 0.0000, 0.0000)
Hg (0.7573, 0.7573, 0.7573)
Ir (0.2504, 0.2504, 0.2504)
Ir (0.5113, 0.5113, 0.5113)

TaTi3Os4 | PBE | relaxed

Results
Calculated density, Mg/m³: 14.9
Space-group type: Pmmm
Energy of formation from the pure elements, meV/atom: -613

Cell: 3.1172 4.4120 8.8087 Å, 90.00 90.00 90.00°
Element x y z (fractional)
Ta (0.0000, 0.0000, 0.0000)
Ti (0.0000, 0.0000, 0.5000)
Ti (0.0000, 0.5000, 0.2548)
Ti (0.0000, 0.5000, 0.7452)
Os (0.5000, 0.0000, 0.2531)
Os (0.5000, 0.0000, 0.7469)
Os (0.5000, 0.5000, 0.0000)
Os (0.5000, 0.5000, 0.5000)

RbPtPb4 | PBE | relaxed

Results
Calculated density, Mg/m³: 8.3
Space-group type: C2/m
Energy of formation from the pure elements, meV/atom: -199

Cell: 10.1699 10.1699 5.8396 Å, 106.64 106.64 50.42°
Element x y z (fractional)
Rb (0.1991, 0.1991, 0.1994)
Rb (0.8009, 0.8009, 0.8006)
Pt (0.5001, 0.5001, 0.2534)
Pt (0.4999, 0.4999, 0.7466)
Pb (0.1839, 0.6221, 0.4030)
Pb (0.2091, 0.7909, 0.0000)
Pb (0.3580, 0.3580, 0.8585)
Pb (0.3779, 0.8161, 0.5970)
Pb (0.6221, 0.1839, 0.4030)
Pb (0.6420, 0.6420, 0.1415)
Pb (0.7909, 0.2091, 0.0000)
Pb (0.8161, 0.3779, 0.5970)

Pm7Mg2Ru2 | PBE | relaxed

Results
Calculated density, Mg/m³: 6.5
Space-group type: Imm2
Energy of formation from the pure elements, meV/atom: -95

Cell: 9.8985 9.8985 9.8985 Å, 157.77 67.49 117.20°
Element x y z (fractional)
Pm (0.0000, 0.0000, 0.0000)
Pm (0.2619, 0.4260, 0.8360)
Pm (0.3216, 0.6423, 0.6793)
Pm (0.5900, 0.4260, 0.1640)
Pm (0.6242, 0.2656, 0.3586)
Pm (0.9070, 0.2656, 0.6414)
Pm (0.9631, 0.6423, 0.3207)
Mg (0.3122, 0.8122, 0.5000)
Mg (0.6130, 0.6130, 0.0000)
Ru (0.1454, 0.9459, 0.1995)
Ru (0.7464, 0.9459, 0.8005)

K2ZnAgSb2 | PBE | relaxed

Results
Calculated density, Mg/m³: 4.6
Space-group type: Ibam
Raw formation energy, meV/atom: -301

Cell: 9.4989 9.4989 9.4989 Å, 139.22 58.89 139.41°
Element x y z (fractional)
K (0.1700, 0.2393, 0.4093)
K (0.3300, 0.7393, 0.0693)
K (0.6700, 0.2607, 0.9307)
K (0.8300, 0.7607, 0.5907)
Zn (0.2500, 0.7500, 0.5000)
Zn (0.7500, 0.2500, 0.5000)
Ag (0.2500, 0.2500, 0.0000)
Ag (0.7500, 0.7500, 0.0000)
Sb (0.0982, 0.7358, 0.8340)
Sb (0.4018, 0.2358, 0.6376)
Sb (0.5982, 0.7642, 0.3624)
Sb (0.9018, 0.2642, 0.1660)

Al5Pt3 | PBE | relaxed

Results
Calculated density, Mg/m³: 9.1
Space-group type: Cm
Energy of formation from the pure elements, meV/atom: -833

Cell: 7.2235 7.2235 7.2801 Å, 99.42 99.42 131.35°
Element x y z (fractional)
Al (0.0000, 0.0000, 0.0000)
Al (0.0531, 0.8436, 0.6418)
Al (0.1984, 0.4069, 0.3622)
Al (0.3363, 0.6973, 0.7914)
Al (0.4069, 0.1984, 0.3622)
Al (0.5050, 0.5050, 0.0011)
Al (0.5465, 0.9087, 0.2110)
Al (0.6973, 0.3363, 0.7914)
Al (0.8436, 0.0531, 0.6418)
Al (0.9087, 0.5465, 0.2110)
Pt (0.0968, 0.4170, 0.0011)
Pt (0.3711, 0.8689, 0.5020)
Pt (0.4170, 0.0968, 0.0011)
Pt (0.5997, 0.5997, 0.6794)
Pt (0.8689, 0.3711, 0.5020)
Pt (0.9135, 0.9135, 0.3193)

| no. | volume (Å³/cell) | magnetic moment (μB/atom) |
| --- | --- | --- |
| 1 | 126.5 | 0.000 |
| 2 | 291.5 | 1.240 |
| 3 | 317.3 | 0.111 |
| 4 | 95.0 | 0.000 |
| 5 | 59.8 | 0.587 |
| 6 | 99.7 | 0.000 |
| 7 | 67.4 | 0.001 |
| 8 | 121.1 | 0.000 |
| 9 | 441.6 | 0.000 |
| 10 | 324.0 | 0.000 |
| 11 | 360.7 | 0.000 |
| 12 | 261.7 | 0.000 |